A geometry-optimized Ho2TlPb structure. Source: Alexandria via LeMat-Bulk, functional PBE.

Results
E_form: -19.3 kJ per mole of atoms
SG: R3m

Cell: 4.6507 4.6507 20.4589 Å, 90.00 90.00 120.00°
With the nearest neighbours (Å) after each atom.
Element x y z (fractional)
Ho 0.0000 0.0000 0.0000  3 Pb 3.12, 3 Tl 3.24
Ho 0.0000 0.0000 0.1815  3 Pb 3.08, 3 Tl 3.29
Ho 0.3333 0.6667 0.6667  3 Pb 3.12, 3 Tl 3.24
Ho 0.3333 0.6667 0.8482  3 Pb 3.08, 3 Tl 3.29
Ho 0.6667 0.3333 0.3333  3 Pb 3.12, 3 Tl 3.24
Ho 0.6667 0.3333 0.5149  3 Pb 3.08, 3 Tl 3.29
Tl 0.0000 0.0000 0.4218  6 Ho 3.24-3.29, 1 Pb 3.42
Tl 0.3333 0.6667 0.0885  6 Ho 3.24-3.29, 1 Pb 3.42
Tl 0.6667 0.3333 0.7551  6 Ho 3.24-3.29, 1 Pb 3.42
Pb 0.0000 0.0000 0.5890  6 Ho 3.08-3.12, 1 Tl 3.42
Pb 0.3333 0.6667 0.2557  6 Ho 3.08-3.12, 1 Tl 3.42
Pb 0.6667 0.3333 0.9224  6 Ho 3.08-3.12, 1 Tl 3.42



A geometry-optimized Co5Br structure. Source: Alexandria via LeMat-Bulk, functional PBE.

Results
polymorph energy (0 for the lowest one): 161 meV per atom
uncorrected formation energy: 0.637 eV/atom
SG: P6/mmm

Cell: 4.7777 4.7777 4.1868 Å, 90.00 90.00 120.00°
With the nearest neighbours (Å) after each atom.
Element x y z (fractional)
Co 0.0000 0.5000 0.0000  8 Co 2.39-2.51
Co 0.3333 0.6667 0.5000  9 Co 2.51-2.76, 3 Br 2.76
Co 0.5000 0.0000 0.0000  8 Co 2.39-2.51
Co 0.5000 0.5000 0.0000  8 Co 2.39-2.51
Co 0.6667 0.3333 0.5000  9 Co 2.51-2.76, 3 Br 2.76
Br 0.0000 0.0000 0.5000  6 Co 2.76



A geometry-optimized TiCl4 structure. Source: Alexandria via LeMat-Bulk, functional PBE.

Results
uncorrected formation energy: -1.587 eV/atom
SG: I-42m

Cell: 5.9651 5.9651 11.0467 Å, 90.00 90.00 90.00°
With the nearest neighbours (Å) after each atom.
Element x y z (fractional)
Ti 0.0000 0.0000 0.0000  4 Cl 2.18
Ti 0.5000 0.5000 0.5000  4 Cl 2.18
Cl 0.2114 0.2114 0.8858  1 Ti 2.18
Cl 0.2114 0.7886 0.1142  1 Ti 2.18
Cl 0.2886 0.2886 0.3858  1 Ti 2.18
Cl 0.2886 0.7114 0.6142  1 Ti 2.18
Cl 0.7114 0.2886 0.6142  1 Ti 2.18
Cl 0.7114 0.7114 0.3858  1 Ti 2.18
Cl 0.7886 0.2114 0.1142  1 Ti 2.18
Cl 0.7886 0.7886 0.8858  1 Ti 2.18



A geometry-optimized Pm11Tl9In4 structure. Source: Alexandria via LeMat-Bulk, functional PBE.

Results
E_form: -36.0 kJ per mole of atoms
SG: Cmmm

Cell: 13.8679 13.8679 3.6616 Å, 90.00 90.00 100.20°
With the nearest neighbours (Å) after each atom.
Element x y z (fractional)
Pm 0.0000 0.0000 0.0000  8 Tl 3.35, 2 Pm 3.66
Pm 0.0721 0.4100 0.0000  2 In 3.32, 6 Tl 3.35-3.46, 4 Pm 3.46-3.66
Pm 0.1806 0.8194 0.0000  8 Tl 3.35-3.38, 2 Pm 3.66
Pm 0.2355 0.2355 0.0000  4 In 3.29, 4 Tl 3.39, 4 Pm 3.60-3.66
Pm 0.3604 0.6396 0.0000  4 In 3.40, 6 Tl 3.49, 2 Pm 3.66
Pm 0.4100 0.0721 0.0000  2 In 3.32, 6 Tl 3.35-3.46, 4 Pm 3.46-3.66
Pm 0.5900 0.9279 0.0000  2 In 3.32, 6 Tl 3.35-3.46, 4 Pm 3.46-3.66
Pm 0.6396 0.3604 0.0000  4 In 3.40, 6 Tl 3.49, 2 Pm 3.66
Pm 0.7645 0.7645 0.0000  4 In 3.29, 4 Tl 3.39, 4 Pm 3.60-3.66
Pm 0.8194 0.1806 0.0000  8 Tl 3.35-3.38, 2 Pm 3.66
Pm 0.9279 0.5900 0.0000  2 In 3.32, 6 Tl 3.35-3.46, 4 Pm 3.46-3.66
Tl 0.0268 0.2050 0.5000  8 Pm 3.35-3.39, 3 Tl 3.66-3.73
Tl 0.1427 0.6141 0.5000  1 In 3.32, 8 Pm 3.35-3.49, 2 Tl 3.66
Tl 0.2050 0.0268 0.5000  8 Pm 3.35-3.39, 3 Tl 3.66-3.73
Tl 0.3859 0.8573 0.5000  1 In 3.32, 8 Pm 3.35-3.49, 2 Tl 3.66
Tl 0.5000 0.5000 0.5000  4 In 3.09
Tl 0.6141 0.1427 0.5000  1 In 3.32, 8 Pm 3.35-3.49, 2 Tl 3.66
Tl 0.7950 0.9732 0.5000  8 Pm 3.35-3.39, 3 Tl 3.66-3.73
Tl 0.8573 0.3859 0.5000  1 In 3.32, 8 Pm 3.35-3.49, 2 Tl 3.66
Tl 0.9732 0.7950 0.5000  8 Pm 3.35-3.39, 3 Tl 3.66-3.73
In 0.2746 0.4362 0.5000  2 Tl 3.09-3.32, 6 Pm 3.29-3.40, 1 In 3.44
In 0.4362 0.2746 0.5000  2 Tl 3.09-3.32, 6 Pm 3.29-3.40, 1 In 3.44
In 0.5638 0.7254 0.5000  2 Tl 3.09-3.32, 6 Pm 3.29-3.40, 1 In 3.44
In 0.7254 0.5638 0.5000  2 Tl 3.09-3.32, 6 Pm 3.29-3.40, 1 In 3.44



| no. | DFT total energy (eV per atom) | calculated volume (Å³/cell) |
| --- | --- | --- |
| 1 | -4.01 | 383 |
| 2 | -5.56 | 83 |
| 3 | -4.64 | 393 |
| 4 | -3.89 | 693 |